No. 1
The following is a DFT calculation (GGA-PBE) of crystalline SrTaZn2 at its relaxed geometry.

Calculated values
Fermi-level density of states, states/eV/cell: 2.65
Formation energy from the elements, kJ/mol of atoms: 19
Total magnetic moment, μB per cell: 0.000
Space-group type: P4/mmm (123)

Unit cell a=3.1816 b=3.1816 c=8.1038 alpha=90.00 beta=90.00 gamma=90.00
Positions (direct):
Zn 0.0000 0.0000 0.9567
Zn 0.0000 0.0000 0.5433
Sr 0.5000 0.5000 0.2500
Ta 0.5000 0.5000 0.7500

---

No. 2
The following is a DFT calculation (GGA-PBE) of crystalline SrTaZn2 at its relaxed geometry.

Calculated values
Fermi-level density of states, states/eV/cell: 2.69
Formation energy from the elements, kJ/mol of atoms: 43
Total magnetic moment, μB per cell: 0.000
Space-group type: R-3m (166)

Unit cell a=9.4911 b=9.4911 c=9.4911 alpha=19.82 beta=19.82 gamma=19.82
Positions (direct):
Ta 0.7500 0.7500 0.7500
Zn 0.4897 0.4897 0.4897
Zn 0.0103 0.0103 0.0103
Sr 0.2500 0.2500 0.2500

---

No. 3
The following is a DFT calculation (GGA-PBE) of crystalline SrTa3Zn at its relaxed geometry.

Calculated values
Fermi-level density of states, states/eV/cell: 7.39
Formation energy from the elements, kJ/mol of atoms: 137
Total magnetic moment, μB per cell: 0.000
Space-group type: Pm-3m (221)

Unit cell a=4.9184 b=4.9184 c=4.9184 alpha=90.00 beta=90.00 gamma=90.00
Positions (direct):
Sr 0.5000 0.5000 0.5000
Ta 0.5000 0.0000 0.0000
Ta 0.0000 0.0000 0.5000
Ta 0.0000 0.5000 0.0000
Zn 0.0000 0.0000 0.0000

---

No. 4
The following is a DFT calculation (GGA-PBE) of crystalline Sr3TaZn at its relaxed geometry.

Calculated values
Fermi-level density of states, states/eV/cell: 5.09
Formation energy from the elements, kJ/mol of atoms: 101
Total magnetic moment, μB per cell: 0.000
Space-group type: Pm-3m (221)

Unit cell a=5.9500 b=5.9500 c=5.9500 alpha=90.00 beta=90.00 gamma=90.00
Positions (direct):
Zn 0.5000 0.5000 0.5000
Sr 0.0000 0.0000 0.5000
Sr 0.0000 0.5000 0.0000
Sr 0.5000 0.0000 0.0000
Ta 0.0000 0.0000 0.0000

---

No. 5
The following is a DFT calculation (GGA-PBE) of crystalline SrTa3Zn at its relaxed geometry.

Calculated values
Fermi-level density of states, states/eV/cell: 5.97
Formation energy from the elements, kJ/mol of atoms: 282
Total magnetic moment, μB per cell: 0.000
Space-group type: Pm-3m (221)

Unit cell a=4.8792 b=4.8792 c=4.8792 alpha=90.00 beta=90.00 gamma=90.00
Positions (direct):
Ta 0.0000 0.5000 0.0000
Ta 0.0000 0.0000 0.5000
Ta 0.5000 0.0000 0.0000
Zn 0.5000 0.5000 0.5000
Sr 0.0000 0.0000 0.0000

---

No. 6
The following is a DFT calculation (GGA-PBE) of crystalline SrTaZn3 at its relaxed geometry.

Calculated values
Fermi-level density of states, states/eV/cell: 5.15
Formation energy from the elements, kJ/mol of atoms: 179
Total magnetic moment, μB per cell: 0.002
Space-group type: Pm-3m (221)

Unit cell a=5.1191 b=5.1191 c=5.1191 alpha=90.00 beta=90.00 gamma=90.00
Positions (direct):
Sr 0.0000 0.0000 0.0000
Zn 0.0000 0.0000 0.5000
Zn 0.5000 0.0000 0.0000
Zn 0.0000 0.5000 0.0000
Ta 0.5000 0.5000 0.5000

---

What is the formation energy from the elements in the first record?
19 kJ/mol of atoms

---

Look up the total magnetic moment of the second one.
0.000 μB per cell